Entry from Alexandria: a relaxed structure of LiTbCdSi (PBE-GGA).

CIF file:
```
data_LiTbCdSi
_cell_length_a 4.902
_cell_length_b 4.902
_cell_length_c 4.902
_cell_angle_alpha 60.00
_cell_angle_beta 60.00
_cell_angle_gamma 60.00
_symmetry_space_group_name_H-M 'P 1'
_symmetry_Int_Tables_number 1
_symmetry_space_group_name_Hall 'P 1'
loop_
_atom_site_label
_atom_site_type_symbol
_atom_site_fract_x
_atom_site_fract_y
_atom_site_fract_z
_atom_site_occupancy
Cd1 Cd 0.250 0.250 0.250 1
Si1 Si 0.750 0.750 0.750 1
Tb1 Tb 0.000 0.000 0.000 1
Li1 Li 0.500 0.500 0.500 1
```

Computed properties:
Magnetic moment, μB per atom: 0.0000
E_form (uncorrected), eV per atom: -0.31